VASP calculation (PBE-GGA) on KLiCu2 after structural relaxation.

Cell and atoms, written as POSCAR:
```
KLiCu2
1.0
3.760 -2.171 0.000
3.760 2.171 0.000
-2.425 0.000 5.955
K Li Cu
1 1 2
Direct
0.000 0.000 0.000
0.500 0.500 0.500
0.177 0.177 0.533
0.823 0.823 0.467
```

## Properties
formation energy from the elements: 64 kJ/mol of formula units
DOS(E_F): 1.4 states/eV/cell

***

VASP calculation (PBE-GGA) on K2CaZrO4 after structural relaxation.

Cell and atoms, written as POSCAR:
```
K2CaZrO4
1.0
5.961 0.000 0.000
0.000 3.376 0.000
-1.987 0.000 6.205
K Ca Zr O
2 1 1 4
Direct
0.000 0.000 0.000
0.500 0.500 0.000
0.000 0.500 0.500
0.500 0.000 0.500
0.261 0.000 0.683
0.295 0.500 0.315
0.705 0.500 0.685
0.739 0.000 0.317
```

## Properties
ΔE_f (raw): -2.557 eV per atom
DOS(E_F): 0.0 states/eV/cell

***

VASP calculation (PBE-GGA) on CrIr3Rh after structural relaxation.

Cell and atoms, written as POSCAR:
```
CrIr3Rh
1.0
4.699 0.000 0.000
0.000 4.699 0.000
0.000 0.000 4.699
Cr Ir Rh
1 3 1
Direct
0.000 0.000 0.000
0.000 0.500 0.500
0.500 0.000 0.500
0.500 0.500 0.000
0.500 0.500 0.500
```

## Properties
formation energy from the elements: 951 kJ/mol of formula units
DOS(E_F): 10.1 states/eV/cell

***

VASP calculation (PBE-GGA) on PdPt4 after structural relaxation.

Cell and atoms, written as POSCAR:
```
PdPt4
1.0
-1.396 1.997 6.985
1.396 -1.997 6.985
1.396 1.997 -6.985
Pd Pt
1 4
Direct
0.000 0.000 0.000
0.200 0.200 0.000
0.401 0.401 0.000
0.599 0.599 0.000
0.800 0.800 0.000
```

## Properties
formation energy from the elements: -13 kJ/mol of formula units
DOS(E_F): 11.4 states/eV/cell

***

VASP calculation (PBE-GGA) on CsNaY3 after structural relaxation.

Cell and atoms, written as POSCAR:
```
CsNaY3
1.0
5.959 0.000 0.000
0.000 5.959 0.000
0.000 0.000 5.959
Cs Na Y
1 1 3
Direct
0.000 0.000 0.000
0.500 0.500 0.500
0.000 0.500 0.500
0.500 0.000 0.500
0.500 0.500 0.000
```

## Properties
formation energy from the elements: 445 kJ/mol of formula units
DOS(E_F): 7.1 states/eV/cell

***

VASP calculation (PBE-GGA) on KHg2Cl2 after structural relaxation.

Cell and atoms, written as POSCAR:
```
KHg2Cl2
1.0
-2.842 2.842 4.988
2.842 -2.842 4.988
2.842 2.842 -4.988
K Hg Cl
1 2 2
Direct
0.000 0.000 0.000
0.360 0.360 0.000
0.640 0.640 0.000
0.250 0.750 0.500
0.750 0.250 0.500
```

## Properties
ΔE_f (raw): -0.762 eV per atom
DOS(E_F): 2.0 states/eV/cell

***

VASP calculation (PBE-GGA) on Y2HfAlH after structural relaxation.

Cell and atoms, written as POSCAR:
```
Y2HfAlH
1.0
4.665 0.000 0.000
0.000 4.665 0.000
0.000 0.000 4.559
Y Hf Al H
2 1 1 1
Direct
0.000 0.500 0.000
0.500 0.000 0.000
0.000 0.000 0.500
0.500 0.500 0.500
0.000 0.000 0.000
```

## Properties
DOS(E_F): 5.1 states/eV/cell

***

VASP calculation (PBE-GGA) on SrOs3 after structural relaxation.

Cell and atoms, written as POSCAR:
```
SrOs3
1.0
4.645 2.682 0.919
-4.645 2.682 0.919
0.000 -5.363 0.919
Sr Os
1 3
Direct
0.000 0.000 0.000
0.000 0.500 0.500
0.500 0.000 0.500
0.500 0.500 0.000
```

## Properties
formation energy from the elements: 471 kJ/mol of formula units
DOS(E_F): 6.5 states/eV/cell

***

VASP calculation (PBE-GGA) on Tc2SbTe after structural relaxation.

Cell and atoms, written as POSCAR:
```
Tc2SbTe
1.0
4.221 -1.601 0.000
4.221 1.601 0.000
-1.306 0.000 5.472
Tc Sb Te
2 1 1
Direct
0.244 0.244 0.269
0.756 0.756 0.731
0.500 0.500 0.000
0.000 0.000 0.500
```

## Properties
ΔE_f (raw): 0.323 eV per atom
DOS(E_F): 2.8 states/eV/cell

***

VASP calculation (PBE-GGA) on CaFeGe2 after structural relaxation.

Cell and atoms, written as POSCAR:
```
CaFeGe2
1.0
-2.562 2.562 7.290
2.562 -2.562 7.290
2.562 2.562 -7.290
Ca Fe Ge
2 2 4
Direct
0.000 0.000 0.000
0.750 0.250 0.500
0.250 0.750 0.500
0.500 0.500 0.000
0.344 0.625 0.219
0.375 0.594 0.719
0.406 0.125 0.781
0.875 0.656 0.281
```

## Properties
formation energy from the elements: -25 kJ/mol of formula units
DOS(E_F): 3.3 states/eV/cell

***

VASP calculation (PBE-GGA) on Cs2HfGa2O6 after structural relaxation.

Cell and atoms, written as POSCAR:
```
Cs2HfGa2O6
1.0
5.197 -3.000 0.000
5.197 3.000 0.000
-3.431 0.000 6.529
Cs Hf Ga O
2 1 2 6
Direct
0.207 0.207 0.122
0.793 0.793 0.878
0.000 0.000 0.500
0.393 0.393 0.677
0.607 0.607 0.323
0.226 0.226 0.690
0.227 0.742 0.695
0.258 0.773 0.305
0.742 0.227 0.695
0.773 0.258 0.305
0.774 0.774 0.310
```

## Properties
ΔE_f (raw): -2.148 eV per atom
DOS(E_F): 0.0 states/eV/cell

***

VASP calculation (PBE-GGA) on VNiCl3 after structural relaxation.

Cell and atoms, written as POSCAR:
```
VNiCl3
1.0
4.819 0.000 0.000
0.000 4.819 0.000
0.000 0.000 4.819
V Ni Cl
1 1 3
Direct
0.000 0.000 0.000
0.500 0.500 0.500
0.000 0.000 0.500
0.000 0.500 0.000
0.500 0.000 0.000
```

## Properties
ΔE_f (raw): -0.120 eV per atom
DOS(E_F): 14.7 states/eV/cell

***

no.,total DFT energy (no corrections) (eV per atom)
1,-2.63
2,-6.63
3,-6.74
4,-5.90
5,-3.39
6,-1.84
7,-6.21
8,-7.62
9,-6.68
10,-4.99
11,-6.46
12,-4.21